TlVTc2O8 | PBE with a Hubbard U | optimized geometry

Magnetic moment = 3.9 μB/cell
Final energy = -7.29 eV/atom

a b c (Å): 9.535 5.855 7.945
angles (deg): 90.00 92.15 90.00
Space group C2/m (No. 12)
Symmetry-distinct sites (fractional):
Tl: 0.000 0.000 0.000
V: 0.000 0.000 0.500
Tc: 0.145 0.500 0.280
O: 0.047 0.248 0.323
O: 0.188 0.500 0.069
O: 0.200 0.000 0.590